1.
Entry from Alexandria via LeMat-Bulk: CaCr2AgRh after structural relaxation (PBE-GGA).

The space group is P4/mmm (No. 123) and the conventional cell measures 4.942, 4.942 and 5.042 Å, with angles of 90.00, 90.00 and 90.00 degrees. The distinct sites, in fractional coordinates, are Ca at (0.000, 0.000, 0.000), Cr at (0.000, 0.500, 0.500), Ag at (0.500, 0.500, 0.500) and Rh at (0.500, 0.500, 0.000).

As for the density of states at the Fermi level: 3.90 states/eV/cell. The value obtained for the energy relative to the elements is 1.020 eV/atom. The total moment comes out at 9.37 μB/cell.

2.
Entry from Alexandria via LeMat-Bulk: Cs2AlTlBr6 after structural relaxation (PBE-GGA).

The space group is P-3m1 (No. 164) and the conventional cell measures 7.8302, 7.8302 and 8.1265 Å, with angles of 90.00, 90.00 and 120.00 degrees. The distinct sites, in fractional coordinates, are Cs at (0.3333, 0.6667, 0.1603), Al at (0.0000, 0.0000, 0.0000), Tl at (0.0000, 0.0000, 0.5000) and Br at (0.1535, 0.3070, 0.8182).

As for the density of states at the Fermi level: 0.00 states/eV/cell. The total moment comes out at 0.00 μB/cell. Its formation energy (no corrections) is -13.4 eV/f.u.

3.
Entry from Alexandria via LeMat-Bulk: TbNi6B3 after structural relaxation (PBE-GGA).

The space group is R3 (No. 146, hexagonal axes) and the conventional cell measures 4.9523, 4.9523 and 15.3711 Å, with angles of 90.00, 90.00 and 120.00 degrees. The distinct sites, in fractional coordinates, are Tb at (0.0000, 0.0000, 0.0000), Ni at (0.0003, 0.5058, 0.9257), Ni at (0.0008, 0.4541, 0.1196), B at (0.0000, 0.0000, 0.1639), B at (0.0000, 0.0000, 0.3583) and B at (0.0000, 0.0000, 0.6922).

As for the density of states at the Fermi level: 15.45 states/eV/cell. The value obtained for the energy relative to the elements is -0.290 eV/atom. The total moment comes out at 0.00 μB/cell.

4.
Entry from Alexandria via LeMat-Bulk: LaZnCr3 after structural relaxation (PBE-GGA).

The space group is Pm-3m (No. 221) and the conventional cell measures 4.779, 4.779 and 4.779 Å, with angles of 90.00, 90.00 and 90.00 degrees. The distinct sites, in fractional coordinates, are La at (0.000, 0.000, 0.000), Zn at (0.500, 0.500, 0.500) and Cr at (0.000, 0.500, 0.500).

As for the density of states at the Fermi level: 3.17 states/eV/cell. The value obtained for the energy relative to the elements is 0.870 eV/atom. The total moment comes out at 10.98 μB/cell. For the relative energy among the computed polymorphs, the calculation gives 0.000 eV per atom.

5.
Entry from Alexandria via LeMat-Bulk: LiTmLu2 after structural relaxation (PBE-GGA).

The space group is R-3m (No. 166, hexagonal axes) and the conventional cell measures 3.3824, 3.3824 and 35.7574 Å, with angles of 90.00, 90.00 and 120.00 degrees. The distinct sites, in fractional coordinates, are Li at (0.0000, 0.0000, 0.0000), Tm at (0.0000, 0.0000, 0.5000) and Lu at (0.0000, 0.0000, 0.0887).

As for the density of states at the Fermi level: 16.78 states/eV/cell. The value obtained for the energy relative to the elements is 0.189 eV/atom. The total moment comes out at 0.00 μB/cell. For the relative energy among the computed polymorphs, the calculation gives 0.108 eV per atom.

6.
Entry from Alexandria via LeMat-Bulk: CeGa12Ir7 after structural relaxation (PBE-GGA).

The space group is Im-3 (No. 204) and the conventional cell measures 9.212, 9.212 and 9.212 Å, with angles of 90.00, 90.00 and 90.00 degrees. The distinct sites, in fractional coordinates, are Ce at (0.000, 0.000, 0.000), Ga at (0.000, 0.337, 0.221), Ir at (0.000, 0.000, 0.500) and Ir at (0.250, 0.250, 0.250).

As for the density of states at the Fermi level: 37.46 states/eV/cell. The value obtained for the energy relative to the elements is -0.094 eV/atom. The total moment comes out at 2.65 μB/cell.